Material: PrDySi2Pd5
Method: DFT, PBE
State: optimized geometry

Cell lengths 4.230, 4.230, 9.041 Å; angles 90.00, 90.00, 90.00 degrees
Positions (direct):
Si 0.500 0.500 0.130
Si 0.500 0.500 0.870
Pd 0.500 0.000 0.738
Pd 0.500 0.500 0.500
Pd 0.000 0.500 0.262
Pd 0.500 0.000 0.262
Pd 0.000 0.500 0.738
Dy 0.000 0.000 0.000
Pr 0.000 0.000 0.500

Computed properties:
space group	P4/mmm (123)
ΔE_f (raw)	-880	meV/atom


Material: Pr2DySn3Pd4
Method: DFT, PBE
State: optimized geometry

Cell lengths 4.605, 4.605, 11.128 Å; angles 90.00, 90.00, 90.00 degrees
Positions (direct):
Sn 0.000 0.500 0.124
Sn 0.500 0.000 0.876
Sn 0.000 0.000 0.500
Pd 0.000 0.500 0.358
Pd 0.000 0.000 0.000
Pd 0.500 0.000 0.642
Pd 0.500 0.500 0.000
Pr 0.500 0.000 0.223
Pr 0.000 0.500 0.777
Dy 0.500 0.500 0.500

Computed properties:
space group	P-4m2 (115)
E_tot	-5.506	eV per atom


Material: PrDyTlPd
Method: DFT, PBE
State: optimized geometry

Cell lengths 5.284, 5.284, 5.284 Å; angles 60.00, 60.00, 60.00 degrees
Positions (direct):
Pd 0.500 0.500 0.500
Dy 0.250 0.250 0.250
Tl 0.000 0.000 0.000
Pr 0.750 0.750 0.750

Computed properties:
space group	F-43m (216)
E_tot	-4.728	eV per atom


Material: Dy2PdPt
Method: DFT, PBE
State: optimized geometry

Cell lengths 3.445, 4.983, 4.983 Å; angles 90.00, 90.00, 90.00 degrees
Positions (direct):
Dy 0.000 0.500 0.000
Dy 0.000 0.000 0.500
Pd 0.500 0.000 0.000
Pt 0.500 0.500 0.500

Computed properties:
space group	P4/mmm (123)
E_tot	-6.177	eV per atom


Material: DyPdPt
Method: DFT, PBE
State: optimized geometry

Cell lengths 4.428, 5.090, 5.678 Å; angles 90.00, 90.00, 115.79 degrees
Positions (direct):
Pt 0.000 0.500 0.500
Pt 0.000 0.500 0.000
Pd 0.611 0.721 0.250
Pd 0.389 0.279 0.750
Dy 0.690 0.880 0.750
Dy 0.310 0.120 0.250

Computed properties:
space group	Cmcm (63)
E_tot	-6.306	eV per atom


Material: Dy2Pd5Pt
Method: DFT, PBE
State: optimized geometry

Cell lengths 4.129, 5.821, 11.647 Å; angles 90.00, 90.00, 90.00 degrees
Positions (direct):
Dy 0.500 0.251 0.625
Dy 0.500 0.751 0.875
Dy 0.500 0.249 0.125
Dy 0.500 0.749 0.375
Pt 0.000 0.500 0.000
Pt 0.000 0.000 0.500
Pd 0.500 0.248 0.375
Pd 0.000 0.000 0.000
Pd 0.000 0.498 0.250
Pd 0.500 0.748 0.125
Pd 0.000 0.500 0.500
Pd 0.500 0.252 0.875
Pd 0.000 0.002 0.750
Pd 0.500 0.752 0.625
Pd 0.000 0.998 0.250
Pd 0.000 0.502 0.750

Computed properties:
space group	Pbam (55)
E_tot	-6.066	eV per atom


Material: Dy2PdPt4
Method: DFT, PBE
State: optimized geometry

Cell lengths 3.904, 3.904, 9.605 Å; angles 101.73, 101.73, 90.00 degrees
Positions (direct):
Dy 0.604 0.604 0.208
Dy 0.396 0.396 0.792
Pt 0.250 0.750 0.500
Pt 0.750 0.250 0.500
Pt 0.857 0.857 0.714
Pt 0.143 0.143 0.286
Pd 0.000 0.000 0.000

Computed properties:
space group	I4/mmm (139)
E_tot	-6.330	eV per atom


Material: DyPdPt3
Method: DFT, PBE
State: optimized geometry

Cell lengths 5.328, 6.503, 6.503 Å; angles 120.00, 90.00, 90.00 degrees
Positions (direct):
Pt 0.250 0.400 0.200
Pt 0.750 0.200 0.800
Pt 0.750 0.200 0.400
Pt 0.750 0.600 0.800
Pt 0.250 0.800 0.200
Pt 0.250 0.800 0.600
Dy 0.250 0.334 0.666
Dy 0.750 0.666 0.334
Pd 0.000 0.000 0.000
Pd 0.500 0.000 0.000

Computed properties:
space group	P6_3/mmc (194)
E_tot	-6.031	eV per atom


Material: Dy4Pd2Pt5
Method: DFT, PBE
State: optimized geometry

Cell lengths 5.670, 5.958, 9.409 Å; angles 81.76, 72.47, 61.59 degrees
Positions (direct):
Dy 0.218 0.313 0.252
Dy 0.530 0.687 0.252
Dy 0.470 0.313 0.748
Dy 0.782 0.687 0.748
Pd 0.756 0.000 0.489
Pd 0.244 0.000 0.511
Pt 0.750 0.500 0.500
Pt 0.250 0.500 0.500
Pt 0.000 0.500 0.000
Pt 0.500 0.000 0.000
Pt 0.500 0.500 0.000

Computed properties:
space group	Fmmm (69)
E_tot	-5.924	eV per atom


Material: Dy6PdPt5
Method: DFT, PBE
State: optimized geometry

Cell lengths 4.955, 6.948, 8.574 Å; angles 113.90, 106.80, 90.00 degrees
Positions (direct):
Dy 0.168 0.916 0.335
Dy 0.500 0.747 0.000
Dy 0.832 0.084 0.665
Dy 0.168 0.419 0.335
Dy 0.500 0.253 0.000
Dy 0.832 0.581 0.665
Pt 0.331 0.331 0.661
Pt 0.669 0.669 0.339
Pt 0.000 0.500 0.000
Pt 0.338 0.838 0.676
Pt 0.662 0.162 0.324
Pd 0.000 0.000 0.000

Computed properties:
space group	Immm (71)
E_tot	-6.426	eV per atom


Material: Dy2PdPt9
Method: DFT, PBE
State: optimized geometry

Cell lengths 4.063, 4.063, 12.259 Å; angles 90.00, 90.00, 90.00 degrees
Positions (direct):
Pt 0.000 0.500 0.840
Pt 0.000 0.500 0.160
Pt 0.500 0.000 0.840
Pt 0.500 0.500 0.670
Pt 0.500 0.500 0.000
Pt 0.500 0.000 0.160
Pt 0.000 0.500 0.500
Pt 0.500 0.500 0.330
Pt 0.500 0.000 0.500
Pd 0.000 0.000 0.000
Dy 0.000 0.000 0.670
Dy 0.000 0.000 0.330

Computed properties:
space group	P4/mmm (123)
E_tot	-6.403	eV per atom


Material: Dy2PdPt
Method: DFT, PBE
State: optimized geometry

Cell lengths 4.496, 5.605, 7.523 Å; angles 109.65, 90.00, 90.00 degrees
Positions (direct):
Dy 0.250 0.772 0.572
Dy 0.750 0.222 0.934
Dy 0.250 0.778 0.066
Dy 0.750 0.228 0.428
Pd 0.750 0.680 0.294
Pd 0.250 0.320 0.706
Pt 0.250 0.330 0.207
Pt 0.750 0.670 0.793

Computed properties:
space group	P2_1/m (11)
E_tot	-6.224	eV per atom


Number 1: DOS(E_F) 0.332 states/eV/atom. Number 2: DOS(E_F) 0.723 states/eV/atom. Number 3: DOS(E_F) 1.040 states/eV/atom. Number 4: DOS(E_F) 0.556 states/eV/atom. Number 5: DOS(E_F) 0.483 states/eV/atom. Number 6: DOS(E_F) 0.906 states/eV/atom. Number 7: DOS(E_F) 0.508 states/eV/atom. Number 8: DOS(E_F) 1.473 states/eV/atom. Number 9: DOS(E_F) 0.541 states/eV/atom. Number 10: DOS(E_F) 0.584 states/eV/atom. Number 11: DOS(E_F) 1.258 states/eV/atom. Number 12: DOS(E_F) 0.732 states/eV/atom.